MnReAg2 | Alexandria via LeMat-Bulk | PBE-GGA | relaxed; Fermi-level density of states = 3.3 states/eV/cell; formation energy = 3.1 eV per formula unit; total magnetic moment = 3.457 μB/cell
1.0
4.902 0.000 0.000
0.000 4.902 0.000
0.000 0.000 2.745
Ag Mn Re
2 1 1
Direct
0.000 0.000 0.000 Ag
0.500 0.500 0.000 Ag
0.500 0.000 0.500 Mn
0.000 0.500 0.500 Re

Cs3KSc | Alexandria via LeMat-Bulk | PBE-GGA | relaxed; Fermi-level density of states = 10.8 states/eV/cell; formation energy = 3.1 eV per formula unit; total magnetic moment = 2.999 μB/cell
1.0
-3.534 5.125 -4.695
-3.572 -5.858 -3.706
-5.963 0.471 5.003
Cs Sc K
3 1 1
Direct
0.000 0.500 0.000 Cs
0.000 0.000 0.500 Cs
0.500 0.000 0.000 Cs
0.000 0.000 0.000 Sc
0.500 0.500 0.500 K

HfPdAu | Alexandria via LeMat-Bulk | PBE-GGA | relaxed; Fermi-level density of states = 1.8 states/eV/cell; formation energy = -1.5 eV per formula unit; total magnetic moment = 0.000 μB/cell
1.0
2.903 0.000 0.000
0.000 4.615 0.000
0.000 -2.308 3.997
Hf Au Pd
1 1 1
Direct
0.705 0.333 0.667 Hf
0.296 0.667 0.333 Au
0.999 0.000 0.000 Pd